DFT (PBE-GGA) results for a relaxed structure of Sr3OsN.

Calculated values
**Size of the total moment**: 1.036 Bohr magnetons per cell
**Raw formation energy**: 0.356 eV per atom
**DOS at the Fermi energy**: 7.82 states/eV/f.u.
**Uncorrected energy**: -22.822 eV/cell

Unit cell a=5.0977 b=5.0977 c=5.0977 alpha=90.00 beta=90.00 gamma=90.00
Last column: nearest neighbours and their distance in Å.
Space group Pm-3m (No. 221)
One atom of each set of equivalent atoms:
Sr: 0.0000 0.0000 0.5000 x3  2 N 2.55
Os: 0.5000 0.5000 0.5000 x1  12 Sr 3.60
N: 0.0000 0.0000 0.0000 x1  6 Sr 2.55